TlP2ClF after structural relaxation. Source: Alexandria via LeMat-Bulk, functional PBE-GGA.

The energy above the most stable polymorph in this dataset comes out at 0.203 eV per atom. The total DFT energy (no corrections) is -2.9603 eV/atom. The calculation puts the density of states at the Fermi level at 4.07 states/eV/f.u. The formation energy (no corrections) comes out at 0.421 eV/atom.

The structure belongs to space group P4/mmm (No. 123); the cell edges are 4.5511, 4.5511 and 5.6401 Å and the angles 90.00°, 90.00° and 90.00°. The inequivalent atoms are Tl at (0.0000, 0.0000, 0.0000), P at (0.0000, 0.5000, 0.5000), Cl at (0.5000, 0.5000, 0.5000) and F at (0.5000, 0.5000, 0.0000).

---

TlP2ClF after structural relaxation. Source: Alexandria via LeMat-Bulk, functional PBE-GGA.

The energy above the most stable polymorph in this dataset comes out at 0.625 eV per atom. The total DFT energy (no corrections) is -2.5381 eV/atom. The calculation puts the density of states at the Fermi level at 5.57 states/eV/f.u. The formation energy (no corrections) comes out at 0.843 eV/atom.

The structure belongs to space group P4/mmm (No. 123); the cell edges are 5.3451, 5.3451 and 5.2371 Å and the angles 90.00°, 90.00° and 90.00°. The inequivalent atoms are Tl at (0.0000, 0.0000, 0.0000), P at (0.0000, 0.5000, 0.0000), Cl at (0.0000, 0.0000, 0.5000) and F at (0.5000, 0.5000, 0.5000).

---

> Which formula does entry 2 have?

TlP2ClF